Density functional theory data (PBE-GGA) for crystalline TiAs2Br at its relaxed geometry.

Structure (CIF):
```
data_TiAs2Br
_space_group_name_H-M_alt 'P 1'
_space_group_IT_number 1
_cell_length_a 4.8065
_cell_length_b 4.8065
_cell_length_c 4.8065
_cell_angle_alpha 60.00
_cell_angle_beta 60.00
_cell_angle_gamma 60.00
loop_
_space_group_symop_operation_xyz
'x,y,z'
loop_
_atom_site_label
_atom_site_fract_x
_atom_site_fract_y
_atom_site_fract_z
_atom_site_occupancy
As1 0.2500 0.2500 0.2500 1
As2 0.7500 0.7500 0.7500 1
Br1 0.5000 0.5000 0.5000 1
Ti1 0.0000 0.0000 0.0000 1
```

Values from the calculation:
Formation energy (no corrections): 1.65 eV per formula unit
Mass density: 5.9 g/cm3
Space-group type: Fm-3m
Magnetic moment: 0.9 μB per formula unit